Density functional theory data (PBE-GGA) for a relaxed CoNiCl2 crystal.

Summary:
ΔE_f (raw)	0.985	eV per formula unit
polymorph energy (0 for the lowest one)	398.9	meV per atom
space-group type	Cmmm, No. 65

Lattice parameters (Å, degrees): 3.480 3.480 7.042 90.00 90.00 126.29
Element x y z (fractional)
1 Cl 0.000 0.000 0.997
2 Cl 0.000 0.000 0.503
3 Ni 0.500 0.500 0.750
4 Co 0.500 0.500 0.250